Here is a relaxed PmLu3 crystal from Alexandria. Energies are from GGA-PBEsol.

Calculated values
DOS(E_F): 12.63 states/eV/cell
formation energy: 9 meV per atom
size of the total moment: 0.00 μB per atom

a = 5.484 Å, b = 6.990 Å, c = 6.990 Å
α = 120.00°, β = 90.00°, γ = 90.00°
Element x y z (fractional)
Lu 0.750 0.835 0.670
Lu 0.250 0.165 0.835
Lu 0.250 0.670 0.835
Lu 0.750 0.330 0.165
Lu 0.750 0.835 0.165
Lu 0.250 0.165 0.330
Pm 0.250 0.667 0.333
Pm 0.750 0.333 0.667